The following is a DFT calculation (PBE-GGA) of a geometry-optimized BaSc2As structure.

Computed properties:
**Energy of formation**: -266 meV/atom
**Energy**: -5.075 eV/atom
**Calculated volume**: 128.4 Å³/f.u.

```
4
Lattice="-7.362 2.977 5.438 -7.937 -0.963 5.358 -5.373 0.623 7.961" Properties=species:S:1:pos:R:3 pbc="T T T"
Sc -20.352 2.597 18.466
Sc -4.753 0.606 4.312
Ba -15.897 2.028 14.424
As -10.680 1.363 9.690
```